First-principles (PBE) data for a relaxed ZnRe2Br crystal, as listed in Alexandria.

```
4
Lattice="3.290 0.000 0.000 0.000 3.290 0.000 0.000 0.000 6.813" Properties=species:S:1:pos:R:3 pbc="T T T"
Zn 0.000 0.000 0.000
Re 1.645 1.645 1.151
Re 1.645 1.645 5.662
Br 0.000 0.000 3.406
```

Summary:
SG = P4/mmm
Energy above the most stable polymorph in this dataset = 0.712 eV/atom
Formation energy from raw total energies = 0.981 eV/atom